# CuRh3O | the Alexandria database | GGA-PBE | relaxed
# Raw formation energy, kJ/mol of formula units: 119
# Energy, eV per atom: -5.975
data_CuRh3O
_chemical_formula_sum 'Cu1 Rh3 O1'
_symmetry_space_group_name_H-M 'P m -3 m'
_symmetry_Int_Tables_number 221
_symmetry_space_group_name_Hall '-P 4 2 3'
_cell_length_a 4.0663
_cell_length_b 4.0663
_cell_length_c 4.0663
_cell_angle_alpha 90.00
_cell_angle_beta 90.00
_cell_angle_gamma 90.00
loop_
_atom_site_label
_atom_site_type_symbol
_atom_site_fract_x
_atom_site_fract_y
_atom_site_fract_z
Cu1 Cu 0.0000 0.0000 0.0000
Rh1 Rh 0.0000 0.5000 0.5000
O1 O 0.5000 0.5000 0.5000

---

# K2Rb2In | the Alexandria database | GGA-PBE | relaxed
# Energy relative to the elements, meV per atom: -0.9
# Energy, eV per atom: -1.375
data_K2Rb2In
_chemical_formula_sum 'K8 Rb8 In4'
_symmetry_space_group_name_H-M 'C 1 2/m 1'
_symmetry_Int_Tables_number 12
_symmetry_space_group_name_Hall '-C 2y'
_cell_length_a 9.8551
_cell_length_b 14.9252
_cell_length_c 10.0318
_cell_angle_alpha 90.00
_cell_angle_beta 117.17
_cell_angle_gamma 90.00
loop_
_atom_site_label
_atom_site_type_symbol
_atom_site_fract_x
_atom_site_fract_y
_atom_site_fract_z
K1 K 0.2201 0.0000 0.3912
K2 K 0.2433 0.5000 0.1405
Rb1 Rb 0.0636 0.2838 0.7645
In1 In 0.0000 0.0975 0.0000

---

# Na2LaPuO4 | the Alexandria database | GGA-PBE | relaxed
# Raw formation energy, kJ/mol of formula units: -1930
# Energy, eV per atom: -7.717
data_Na2LaPuO4
_chemical_formula_sum 'Na2 La1 Pu1 O4'
_symmetry_space_group_name_H-M 'P 1 2/m 1'
_symmetry_Int_Tables_number 10
_symmetry_space_group_name_Hall '-P 2y'
_cell_length_a 6.0046
_cell_length_b 3.5975
_cell_length_c 6.2383
_cell_angle_alpha 90.00
_cell_angle_beta 110.55
_cell_angle_gamma 90.00
loop_
_atom_site_label
_atom_site_type_symbol
_atom_site_fract_x
_atom_site_fract_y
_atom_site_fract_z
Na1 Na 0.0000 0.0000 0.0000
Na2 Na 0.0000 0.5000 0.5000
La1 La 0.5000 0.0000 0.5000
Pu1 Pu 0.5000 0.5000 0.0000
O1 O 0.2824 0.5000 0.2520
O2 O 0.2858 0.0000 0.7719

---

# LiZnCr2 | the Alexandria database | GGA-PBE | relaxed
# Energy relative to the elements, meV per atom: 291.8
# Energy, eV per atom: -5.317
data_LiZnCr2
_chemical_formula_sum 'Li1 Zn1 Cr2'
_symmetry_space_group_name_H-M 'P 4/m m m'
_symmetry_Int_Tables_number 123
_symmetry_space_group_name_Hall '-P 4 2'
_cell_length_a 3.3621
_cell_length_b 3.3621
_cell_length_c 4.2648
_cell_angle_alpha 90.00
_cell_angle_beta 90.00
_cell_angle_gamma 90.00
loop_
_atom_site_label
_atom_site_type_symbol
_atom_site_fract_x
_atom_site_fract_y
_atom_site_fract_z
Li1 Li 0.0000 0.0000 0.0000
Zn1 Zn 0.5000 0.5000 0.0000
Cr1 Cr 0.0000 0.5000 0.5000

---

# NaSmY | the Alexandria database | GGA-PBE | relaxed
# Energy relative to the elements, meV per atom: 136.5
# Energy, eV per atom: -4.031
data_NaSmY
_chemical_formula_sum 'Na2 Sm2 Y2'
_symmetry_space_group_name_H-M 'P 4/n m m'
_symmetry_Int_Tables_number 129
_cell_length_a 4.0833
_cell_length_b 4.0833
_cell_length_c 12.3795
_cell_angle_alpha 90.00
_cell_angle_beta 90.00
_cell_angle_gamma 90.00
loop_
_symmetry_equiv_pos_as_xyz
'x,y,z'
'-x,-y,-z'
'-y+1/2,x,z'
'y+1/2,-x,-z'
'-x+1/2,-y+1/2,z'
'x+1/2,y+1/2,-z'
'y,-x+1/2,z'
'-y,x+1/2,-z'
'x+1/2,-y,-z'
'-x+1/2,y,z'
'-y,-x,-z'
'y,x,z'
'-x,y+1/2,-z'
'x,-y+1/2,z'
'y+1/2,x+1/2,-z'
'-y+1/2,-x+1/2,z'
loop_
_atom_site_label
_atom_site_type_symbol
_atom_site_fract_x
_atom_site_fract_y
_atom_site_fract_z
Na1 Na 0.2500 0.2500 0.0803
Sm1 Sm 0.2500 0.2500 0.7350
Y1 Y 0.2500 0.2500 0.4257

---

# NiSbP | the Alexandria database | GGA-PBE | relaxed
# Raw formation energy, kJ/mol of formula units: -44
# Energy, eV per atom: -5.256
data_NiSbP
_chemical_formula_sum 'Ni4 Sb4 P4'
_symmetry_space_group_name_H-M 'C 1 2 1'
_symmetry_Int_Tables_number 5
_symmetry_space_group_name_Hall 'C 2y'
_cell_length_a 12.1232
_cell_length_b 4.3161
_cell_length_c 4.2095
_cell_angle_alpha 90.00
_cell_angle_beta 92.09
_cell_angle_gamma 90.00
loop_
_atom_site_label
_atom_site_type_symbol
_atom_site_fract_x
_atom_site_fract_y
_atom_site_fract_z
Ni1 Ni 0.2179 0.0000 0.1448
Sb1 Sb 0.0000 0.0013 0.0000
Sb2 Sb 0.0000 0.5004 0.5000
P1 P 0.2157 0.4999 0.3419

---

# SmDy2FeN4 | the Alexandria database | GGA-PBE | relaxed
# Raw formation energy, kJ/mol of formula units: -865
# Energy, eV per atom: -8.082
data_SmDy2FeN4
_chemical_formula_sum 'Sm4 Dy8 Fe4 N16'
_symmetry_space_group_name_H-M 'C m c m'
_symmetry_Int_Tables_number 63
_symmetry_space_group_name_Hall '-C 2c 2'
_cell_length_a 3.3877
_cell_length_b 11.3933
_cell_length_c 11.5397
_cell_angle_alpha 90.00
_cell_angle_beta 90.00
_cell_angle_gamma 90.00
loop_
_atom_site_label
_atom_site_type_symbol
_atom_site_fract_x
_atom_site_fract_y
_atom_site_fract_z
Sm1 Sm 0.0000 0.1177 0.2500
Dy1 Dy 0.0000 0.3680 0.0449
Fe1 Fe 0.0000 0.1535 0.7500
N1 N 0.0000 0.0000 0.0000
N2 N 0.0000 0.2681 0.6314
N3 N 0.0000 0.4173 0.2500

---

# ZrTl2As | the Alexandria database | GGA-PBE | relaxed
# Energy relative to the elements, meV per atom: -168.5
# Energy, eV per atom: -4.651
data_ZrTl2As
_chemical_formula_sum 'Zr2 Tl4 As2'
_symmetry_space_group_name_H-M 'C m m 2'
_symmetry_Int_Tables_number 35
_symmetry_space_group_name_Hall 'C 2 -2'
_cell_length_a 4.0478
_cell_length_b 5.2432
_cell_length_c 9.7281
_cell_angle_alpha 90.00
_cell_angle_beta 90.00
_cell_angle_gamma 90.00
loop_
_atom_site_label
_atom_site_type_symbol
_atom_site_fract_x
_atom_site_fract_y
_atom_site_fract_z
Zr1 Zr 0.0000 0.0000 0.0000
Tl1 Tl 0.0000 0.0000 0.4569
Tl2 Tl 0.0000 0.5000 0.7471
As1 As 0.0000 0.5000 0.1747

---

Question: Which value of energy does entry 2 give?
Answer: -1.375 eV per atom